1.
A plane-wave DFT calculation with PBE was carried out for an optimized crystal structure of Cs2LiVTe4.

Cell lengths 15.538, 13.954, 8.240 Å; angles 84.71, 63.41, 31.88 degrees
Fractional positions:
Cs 0.055 0.055 0.695
Cs 0.305 0.305 0.945
Cs 0.695 0.695 0.055
Cs 0.945 0.945 0.305
Li 0.125 0.125 0.125
Li 0.875 0.875 0.875
V 0.375 0.375 0.375
V 0.625 0.625 0.625
Te 0.003 0.639 0.556
Te 0.303 0.556 0.639
Te 0.361 0.997 0.697
Te 0.444 0.697 0.997
Te 0.556 0.303 0.003
Te 0.639 0.003 0.303
Te 0.697 0.444 0.361
Te 0.997 0.361 0.444

Results
Space group: Fddd (70)
Uncorrected formation energy (eV per atom): -0.7678


2.
A plane-wave DFT calculation with PBE was carried out for an optimized crystal structure of CsLiVTe3.

Cell lengths 8.035, 8.035, 7.555 Å; angles 90.00, 90.00, 122.28 degrees
Fractional positions:
Cs 0.244 0.756 0.750
Cs 0.756 0.244 0.250
Li 0.436 0.564 0.250
Li 0.564 0.436 0.750
V 0.061 0.939 0.250
V 0.939 0.061 0.750
Te 0.227 0.227 0.000
Te 0.227 0.227 0.500
Te 0.238 0.762 0.250
Te 0.762 0.238 0.750
Te 0.773 0.773 0.000
Te 0.773 0.773 0.500

Results
Space group: Cmcm (63)
Density of states at the Fermi level (states/eV/cell): 0.68
Uncorrected formation energy (eV per atom): -0.6525


3.
A plane-wave DFT calculation with PBE was carried out for an optimized crystal structure of CsLiYTe2.

Cell lengths 8.923, 8.923, 7.006 Å; angles 90.00, 90.00, 134.65 degrees
Fractional positions:
Cs 0.250 0.750 0.761
Cs 0.750 0.250 0.239
Li 0.000 0.000 0.000
Li 0.500 0.500 0.000
Y 0.250 0.250 0.500
Y 0.750 0.750 0.500
Te 0.114 0.886 0.265
Te 0.386 0.614 0.265
Te 0.614 0.386 0.735
Te 0.886 0.114 0.735

Results
Space group: Cmme (67)
Density of states at the Fermi level (states/eV/cell): 5.29
Uncorrected formation energy (eV per atom): -0.9832


4.
A plane-wave DFT calculation with PBE was carried out for an optimized crystal structure of CsLi3Ti.

Cell lengths 5.314, 5.314, 5.314 Å; angles 90.00, 90.00, 90.00 degrees
Fractional positions:
Cs 0.000 0.000 0.000
Li 0.000 0.000 0.500
Li 0.000 0.500 0.000
Li 0.500 0.000 0.000
Ti 0.500 0.500 0.500

Results
Space group: Pm-3m (221)
Density of states at the Fermi level (states/eV/cell): 4.57
Polymorph energy (0 for the lowest one) (meV per atom): 444.2
Formation energy (eV/atom): 1.24


5.
A plane-wave DFT calculation with PBE was carried out for an optimized crystal structure of CsLi3Ti.

Cell lengths 5.788, 5.788, 5.788 Å; angles 90.00, 90.00, 90.00 degrees
Fractional positions:
Cs 0.000 0.000 0.000
Li 0.000 0.500 0.500
Li 0.500 0.000 0.500
Li 0.500 0.500 0.000
Ti 0.500 0.500 0.500

Results
Space group: Pm-3m (221)
Density of states at the Fermi level (states/eV/cell): 11.79
Polymorph energy (0 for the lowest one) (meV per atom): 0.0
Formation energy (eV/atom): 0.80


6.
A plane-wave DFT calculation with PBE was carried out for an optimized crystal structure of Cs2Li2Ti.

Cell lengths 10.174, 10.174, 3.510 Å; angles 90.00, 90.00, 90.00 degrees
Fractional positions:
Cs 0.133 0.367 0.000
Cs 0.367 0.867 0.000
Cs 0.633 0.133 0.000
Cs 0.867 0.633 0.000
Li 0.178 0.678 0.500
Li 0.322 0.178 0.500
Li 0.678 0.822 0.500
Li 0.822 0.322 0.500
Ti 0.000 0.000 0.000
Ti 0.500 0.500 0.000

Results
Space group: P4/mbm (127)
Density of states at the Fermi level (states/eV/cell): 11.18
Formation energy (eV/atom): 0.96


7.
A plane-wave DFT calculation with PBE was carried out for an optimized crystal structure of Cs2LiTi.

Cell lengths 9.498, 9.498, 9.498 Å; angles 90.00, 90.00, 90.00 degrees
Fractional positions:
Cs 0.250 0.250 0.250
Cs 0.250 0.250 0.750
Cs 0.250 0.750 0.250
Cs 0.250 0.750 0.750
Cs 0.750 0.250 0.250
Cs 0.750 0.250 0.750
Cs 0.750 0.750 0.250
Cs 0.750 0.750 0.750
Li 0.000 0.000 0.000
Li 0.000 0.500 0.500
Li 0.500 0.000 0.500
Li 0.500 0.500 0.000
Ti 0.000 0.000 0.500
Ti 0.000 0.500 0.000
Ti 0.500 0.000 0.000
Ti 0.500 0.500 0.500

Results
Space group: Fm-3m (225)
Density of states at the Fermi level (states/eV/cell): 10.45
Polymorph energy (0 for the lowest one) (meV per atom): 0.0
Formation energy (eV/atom): 1.00


8.
A plane-wave DFT calculation with PBE was carried out for an optimized crystal structure of Cs2LiTi.

Cell lengths 10.674, 10.674, 7.477 Å; angles 90.00, 90.00, 90.00 degrees
Fractional positions:
Cs 0.234 0.750 0.125
Cs 0.250 0.234 0.875
Cs 0.250 0.266 0.375
Cs 0.266 0.750 0.625
Cs 0.734 0.250 0.625
Cs 0.750 0.734 0.375
Cs 0.750 0.766 0.875
Cs 0.766 0.250 0.125
Li 0.000 0.000 0.000
Li 0.000 0.500 0.250
Li 0.500 0.000 0.750
Li 0.500 0.500 0.500
Ti 0.000 0.000 0.500
Ti 0.000 0.500 0.750
Ti 0.500 0.000 0.250
Ti 0.500 0.500 0.000

Results
Space group: I-42d (122)
Density of states at the Fermi level (states/eV/cell): 30.99
Polymorph energy (0 for the lowest one) (meV per atom): 55.2
Formation energy (eV/atom): 1.06


9.
A plane-wave DFT calculation with PBE was carried out for an optimized crystal structure of Cs3LiTi.

Cell lengths 7.230, 7.230, 7.230 Å; angles 90.00, 90.00, 90.00 degrees
Fractional positions:
Cs 0.000 0.000 0.500
Cs 0.000 0.500 0.000
Cs 0.500 0.000 0.000
Li 0.000 0.000 0.000
Ti 0.500 0.500 0.500

Results
Space group: Pm-3m (221)
Density of states at the Fermi level (states/eV/cell): 14.20
Formation energy (eV/atom): 1.09


10.
A plane-wave DFT calculation with PBE was carried out for an optimized crystal structure of Cs2LiYTi.

Cell lengths 6.932, 6.932, 5.495 Å; angles 90.00, 90.00, 90.00 degrees
Fractional positions:
Cs 0.000 0.500 0.000
Cs 0.500 0.000 0.000
Li 0.000 0.000 0.500
Y 0.000 0.000 0.000
Ti 0.500 0.500 0.500

Results
Space group: P4/mmm (123)
Density of states at the Fermi level (states/eV/cell): 16.30
Polymorph energy (0 for the lowest one) (meV per atom): 614.8
Formation energy (eV/atom): 1.67


11.
A plane-wave DFT calculation with PBE was carried out for an optimized crystal structure of Cs2LiYTi.

Cell lengths 7.002, 7.002, 5.762 Å; angles 90.00, 90.00, 90.00 degrees
Fractional positions:
Cs 0.000 0.500 0.000
Cs 0.500 0.000 0.000
Li 0.000 0.000 0.500
Y 0.500 0.500 0.500
Ti 0.500 0.500 0.000

Results
Space group: P4/mmm (123)
Density of states at the Fermi level (states/eV/cell): 8.27
Polymorph energy (0 for the lowest one) (meV per atom): 0.0
Formation energy (eV/atom): 1.06


12.
A plane-wave DFT calculation with PBE was carried out for an optimized crystal structure of CsLiTl3.

Cell lengths 5.616, 5.616, 5.616 Å; angles 90.00, 90.00, 90.00 degrees
Fractional positions:
Cs 0.000 0.000 0.000
Li 0.500 0.500 0.500
Tl 0.000 0.500 0.500
Tl 0.500 0.000 0.500
Tl 0.500 0.500 0.000

Results
Space group: Pm-3m (221)
Density of states at the Fermi level (states/eV/cell): 3.82
Polymorph energy (0 for the lowest one) (meV per atom): 130.5
Formation energy (eV/atom): -0.01